(A)
VASP calculation (GGA-PBE) on a relaxed structure of Na3Zn2Sn3.

The space group is Cmcm, No. 63. The crystal system is orthorhombic. The magnetic moment is 0.0 μB per cell.

Cell lengths 4.9868, 5.8663, 15.4087 Å; angles 90.00, 90.00, 115.15 degrees
Closest atoms and distances in Å follow each position.
Sites, in units of the cell vectors:
Na1 0.6508 0.3017 0.0342  3 Zn 3.24-3.43, 6 Sn 3.35-3.58, 3 Na 3.37-3.43
Na2 0.3492 0.6983 0.5342  3 Zn 3.24-3.43, 6 Sn 3.35-3.58, 3 Na 3.37-3.43
Na3 0.6508 0.3017 0.4658  3 Zn 3.24-3.43, 6 Sn 3.35-3.58, 3 Na 3.37-3.43
Na4 0.3492 0.6983 0.9658  3 Zn 3.24-3.43, 6 Sn 3.35-3.58, 3 Na 3.37-3.43
Na5 0.4818 0.9637 0.2500  7 Sn 3.13-3.45, 2 Zn 3.26
Na6 0.5182 0.0363 0.7500  7 Sn 3.13-3.45, 2 Zn 3.26
Zn1 0.7984 0.5968 0.6640  1 Zn 2.65, 3 Sn 2.76-2.93
Zn2 0.2016 0.4032 0.1640  1 Zn 2.65, 3 Sn 2.76-2.93
Zn3 0.7984 0.5968 0.8360  1 Zn 2.65, 3 Sn 2.76-2.93
Zn4 0.2016 0.4032 0.3360  1 Zn 2.65, 3 Sn 2.76-2.93
Sn1 0.9608 0.9217 0.0961  1 Zn 2.76, 2 Sn 3.07
Sn2 0.0392 0.0783 0.5961  1 Zn 2.76, 2 Sn 3.07
Sn3 0.9608 0.9217 0.4039  1 Zn 2.76, 2 Sn 3.07
Sn4 0.0392 0.0783 0.9039  1 Zn 2.76, 2 Sn 3.07
Sn5 0.7770 0.5539 0.2500  4 Zn 2.93, 2 Sn 3.07, 1 Na 3.13
Sn6 0.2230 0.4461 0.7500  4 Zn 2.93, 2 Sn 3.07, 1 Na 3.13



(B)
VASP calculation (GGA-PBE) on a relaxed structure of Na3Zn2Sn3.

The space group is Cmcm, No. 63. The crystal system is orthorhombic. The magnetic moment is 0.0 μB per cell.

Cell lengths 4.2562, 5.9621, 17.2534 Å; angles 90.00, 90.00, 110.91 degrees
Closest atoms and distances in Å follow each position.
Sites, in units of the cell vectors:
Na1 0.9434 0.8868 0.3816  3 Zn 3.18-3.20, 6 Sn 3.28-3.44
Na2 0.0566 0.1132 0.8816  3 Zn 3.18-3.20, 6 Sn 3.28-3.44
Na3 0.9434 0.8868 0.1184  3 Zn 3.18-3.20, 6 Sn 3.28-3.44
Na4 0.0566 0.1132 0.6184  3 Zn 3.18-3.20, 6 Sn 3.28-3.44
Na5 0.6354 0.2709 0.2500  3 Sn 3.17-3.21, 4 Zn 3.33
Na6 0.3646 0.7291 0.7500  3 Sn 3.17-3.21, 4 Zn 3.33
Zn1 0.7691 0.5382 0.8850  4 Sn 2.69-2.84
Zn2 0.2309 0.4618 0.3850  4 Sn 2.69-2.84
Zn3 0.7691 0.5382 0.6150  4 Sn 2.69-2.84
Zn4 0.2309 0.4618 0.1150  4 Sn 2.69-2.84
Sn1 0.6408 0.2816 0.4729  3 Zn 2.80-2.84
Sn2 0.3592 0.7184 0.9729  3 Zn 2.80-2.84
Sn3 0.6408 0.2816 0.0271  3 Zn 2.80-2.84
Sn4 0.3592 0.7184 0.5271  3 Zn 2.80-2.84
Sn5 0.3512 0.7025 0.2500  2 Zn 2.69
Sn6 0.6488 0.2975 0.7500  2 Zn 2.69



Result of the stability comparison: (B) is the most stable of them.